VASP calculation (PBE) on a relaxed structure of B7C5.

Lattice parameters (Å, degrees): 6.017 6.029 3.830 88.73 91.36 142.17
Element x y z (fractional)
B1 0.123 0.735 0.949
C1 0.142 0.301 0.211
C2 0.991 0.997 0.969
B2 0.470 0.459 0.470
C3 0.481 0.976 0.233
B3 0.358 0.656 0.995
B4 0.855 0.688 0.226
B5 0.782 0.058 0.417
C4 0.310 0.144 0.765
B6 0.621 0.304 0.035
C5 0.666 0.819 0.734
B7 0.201 0.863 0.497

Computed properties:
* energy above the most stable polymorph in this dataset: 234.0 meV per atom
* VASP energy: -88.1 eV per cell
* energy of formation from the pure elements: 0.398 eV per atom